Here is an optimized crystal structure of Na3CrF8 from Alexandria. Energies are from GGA+U.

Computed properties:
final energy: -4.481 eV/atom
ρ: 3.08 g cm⁻³
space group: Pm-3m

The structure in POSCAR format:
```
Na3CrF8
1.0
-3.643 -0.668 3.762
0.445 -5.236 -0.498
3.794 -0.027 3.670
F Cr Na
8 1 3
Direct
0.780 0.780 0.780 F
0.220 0.780 0.780 F
0.780 0.220 0.220 F
0.220 0.220 0.220 F
0.220 0.220 0.780 F
0.780 0.780 0.220 F
0.220 0.780 0.220 F
0.780 0.220 0.780 F
0.000 0.000 0.000 Cr
0.500 0.000 0.500 Na
0.500 0.500 0.000 Na
0.000 0.500 0.500 Na
```